Density functional theory data (PBE) for crystalline Pm12AgGe6 at its relaxed geometry.

abc: 8.6516 8.6516 8.6516
angles: 101.05 101.05 101.05
Fractional positions:
Pm (0.0603, 0.9327, 0.6712)
Pm (0.0673, 0.3288, 0.9397)
Pm (0.1838, 0.5566, 0.4143)
Pm (0.3288, 0.9397, 0.0673)
Pm (0.4143, 0.1838, 0.5566)
Pm (0.4434, 0.5857, 0.8162)
Pm (0.5566, 0.4143, 0.1838)
Pm (0.5857, 0.8162, 0.4434)
Pm (0.6712, 0.0603, 0.9327)
Pm (0.8162, 0.4434, 0.5857)
Pm (0.9327, 0.6712, 0.0603)
Pm (0.9397, 0.0673, 0.3288)
Ag (0.0000, 0.0000, 0.0000)
Ge (0.1317, 0.3148, 0.6153)
Ge (0.3148, 0.6153, 0.1317)
Ge (0.3847, 0.8683, 0.6852)
Ge (0.6153, 0.1317, 0.3148)
Ge (0.6852, 0.3847, 0.8683)
Ge (0.8683, 0.6852, 0.3847)

Properties
* formation energy from the elements: -431.8 meV/atom
* DOS(E_F): 1.2511 states/eV/atom


Density functional theory data (PBE) for crystalline Pm3Ag4Ge4 at its relaxed geometry.

abc: 8.5066 8.5066 8.5066
angles: 149.84 130.13 59.40
Fractional positions:
Pm (0.0000, 0.0000, 0.0000)
Pm (0.3732, 0.8732, 0.5000)
Pm (0.6268, 0.1268, 0.5000)
Ag (0.0267, 0.3315, 0.6952)
Ag (0.3638, 0.6685, 0.6952)
Ag (0.6362, 0.3315, 0.3048)
Ag (0.9733, 0.6685, 0.3048)
Ge (0.2170, 0.2170, 0.0000)
Ge (0.3174, 0.5000, 0.8174)
Ge (0.6826, 0.5000, 0.1826)
Ge (0.7830, 0.7830, 0.0000)

Properties
* formation energy from the elements: -547.4 meV/atom
* DOS(E_F): 0.2811 states/eV/atom


Density functional theory data (PBE) for crystalline PmAgGe2 at its relaxed geometry.

abc: 3.2124 5.4522 5.4522
angles: 65.01 90.00 90.00
Fractional positions:
Pm (0.0000, 0.0000, 0.0000)
Ag (0.5000, 0.5078, 0.5078)
Ge (0.5000, 0.0109, 0.4959)
Ge (0.5000, 0.4959, 0.0109)

Properties
* formation energy from the elements: -283.5 meV/atom
* E above lowest polymorph: 18.0 kJ/mol of atoms
* DOS(E_F): 0.5519 states/eV/atom


Density functional theory data (PBE) for crystalline Pm5AgGe3 at its relaxed geometry.

abc: 9.1104 9.1104 6.5400
angles: 90.00 90.00 120.00
Fractional positions:
Pm (0.0000, 0.2814, 0.2500)
Pm (0.0000, 0.7186, 0.7500)
Pm (0.2814, 0.0000, 0.2500)
Pm (0.2814, 0.2814, 0.7500)
Pm (0.3333, 0.6667, 0.0000)
Pm (0.3333, 0.6667, 0.5000)
Pm (0.6667, 0.3333, 0.0000)
Pm (0.6667, 0.3333, 0.5000)
Pm (0.7186, 0.0000, 0.7500)
Pm (0.7186, 0.7186, 0.2500)
Ag (0.0000, 0.0000, 0.0000)
Ag (0.0000, 0.0000, 0.5000)
Ge (0.0000, 0.3750, 0.7500)
Ge (0.0000, 0.6250, 0.2500)
Ge (0.3750, 0.0000, 0.7500)
Ge (0.3750, 0.3750, 0.2500)
Ge (0.6250, 0.0000, 0.2500)
Ge (0.6250, 0.6250, 0.7500)

Properties
* formation energy from the elements: -624.8 meV/atom
* DOS(E_F): 0.8291 states/eV/atom